Crystalline CaNiP2O7 at its relaxed geometry. Source: Alexandria, functional PBE with a Hubbard U.

a b c (Å): 8.745 7.306 9.099
angles (deg): 63.52 90.00 90.00
Last column: magnetic moment on the atom in μB.
Fractional coordinates of all 44 atoms:
O: 0.085 0.985 0.626  0.05
P: 0.729 0.043 0.767  0.01
Ca: 0.049 0.266 0.890  0.00
O: 0.738 0.888 0.696  0.03
O: 0.807 0.256 0.107  0.00
O: 0.892 0.535 0.856  0.02
P: 0.747 0.473 0.965  0.01
O: 0.124 0.947 0.147  0.00
O: 0.225 0.387 0.453  0.02
Ni: 0.070 0.230 0.382  1.82
O: 0.762 0.888 0.196  0.03
O: 0.585 0.015 0.874  0.05
O: 0.108 0.465 0.144  0.02
Ni: 0.430 0.230 0.882  1.82
O: 0.262 0.112 0.304  0.03
P: 0.253 0.527 0.035  0.01
O: 0.605 0.440 0.883  0.01
P: 0.229 0.957 0.733  0.01
O: 0.608 0.535 0.356  0.02
O: 0.238 0.112 0.804  0.03
O: 0.105 0.560 0.617  0.01
O: 0.275 0.387 0.953  0.02
O: 0.915 0.015 0.374  0.05
P: 0.771 0.043 0.267  0.01
O: 0.376 0.947 0.647  0.00
O: 0.725 0.613 0.047  0.02
P: 0.247 0.527 0.535  0.01
P: 0.753 0.473 0.465  0.01
O: 0.895 0.440 0.383  0.01
Ni: 0.570 0.770 0.118  1.82
Ca: 0.549 0.734 0.610  0.00
O: 0.775 0.613 0.547  0.02
O: 0.624 0.053 0.353  0.00
Ca: 0.451 0.266 0.390  0.00
O: 0.876 0.053 0.853  0.00
P: 0.271 0.957 0.233  0.01
Ni: 0.930 0.770 0.618  1.82
Ca: 0.951 0.734 0.110  0.00
O: 0.193 0.744 0.893  0.00
O: 0.392 0.465 0.644  0.02
O: 0.415 0.985 0.126  0.05
O: 0.395 0.560 0.117  0.01
O: 0.307 0.744 0.393  0.00
O: 0.693 0.256 0.607  0.00

Calculated values
Its total energy is -301.50 eV for the cell shown. The magnetic moment is 8.0 Bohr magnetons per cell. Its space-group type is No. 14.